[1]
This record from Alexandria describes ScBe2Pd2 at its PBEsol-relaxed geometry. The functional is meta-GGA SCAN.

a b c (Å): 6.8162 6.8162 2.7717
angles (deg): 90.00 90.00 90.00
With the nearest neighbours (Å) after each atom.
Space group P4/mbm (No. 127)
One atom of each set of equivalent atoms:
Sc: 0.0000 0.0000 0.0000 x2  4 Be 2.74, 2 Sc 2.77, 8 Pd 2.87
Be: 0.1143 0.3857 0.0000 x4  1 Be 2.20, 6 Pd 2.44-2.46
Pd: 0.1768 0.6768 0.5000 x4  6 Be 2.44-2.46

Summary:
The density of states at the Fermi level is 0.4092 states/eV/atom. Its density is 7.11 g cm⁻³. As for the crystal system: tetragonal. Its energy of formation is -0.66 eV per atom.

=====

[2]
This record from Alexandria describes TaRu2RhO at its PBEsol-relaxed geometry. The functional is meta-GGA SCAN.

a b c (Å): 4.6705 4.6705 4.6860
angles (deg): 90.00 90.00 90.00
With the nearest neighbours (Å) after each atom.
Space group P4/mmm (No. 123)
One atom of each set of equivalent atoms:
Ta: 0.0000 0.0000 0.0000 x1  4 Ru 2.34, 2 Rh 2.34
Ru: 0.0000 0.5000 0.0000 x2  2 Ta 2.34
Rh: 0.0000 0.0000 0.5000 x1  2 Ta 2.34
O: 0.5000 0.5000 0.5000 x1  4 Rh 3.30, 8 Ru 3.31

Summary:
The density of states at the Fermi level is 1.0268 states/eV/atom. Its density is 8.15 g cm⁻³. As for the crystal system: tetragonal. The formation energy from raw total energies is 942 kJ/mol of formula units.

=====

[3]
This record from Alexandria describes ScSiHg2 at its PBEsol-relaxed geometry. The functional is meta-GGA SCAN.

a b c (Å): 4.0769 4.0769 9.2624
angles (deg): 90.00 90.00 90.00
With the nearest neighbours (Å) after each atom.
Space group I4/mmm (No. 139)
One atom of each set of equivalent atoms:
Sc: 0.0000 0.0000 0.0000 x2  4 Si 2.88, 8 Hg 3.09
Si: 0.0000 0.0000 0.5000 x2  4 Sc 2.88, 8 Hg 3.09
Hg: 0.0000 0.5000 0.2500 x4  4 Hg 2.88, 4 Sc 3.09, 4 Si 3.09

Summary:
The density of states at the Fermi level is 0.3853 states/eV/atom. Its density is 10.23 g cm⁻³. As for the crystal system: tetragonal. The formation energy from raw total energies is -73 kJ/mol of formula units.

=====

[4]
This record from Alexandria describes BaCa2GaTe at its PBEsol-relaxed geometry. The functional is meta-GGA SCAN.

a b c (Å): 6.1596 6.1596 5.4434
angles (deg): 90.00 90.00 90.00
With the nearest neighbours (Å) after each atom.
Space group P4/mmm (No. 123)
One atom of each set of equivalent atoms:
Ba: 0.0000 0.0000 0.0000 x1  2 Ga 2.72
Ca: 0.0000 0.5000 0.0000 x2  2 Ba 3.08
Ga: 0.0000 0.0000 0.5000 x1  2 Ba 2.72
Te: 0.5000 0.5000 0.5000 x1  8 Ca 4.11, 4 Ga 4.36

Summary:
The density of states at the Fermi level is 0.9114 states/eV/atom. Its density is 3.34 g cm⁻³. As for the crystal system: tetragonal. The formation energy from raw total energies is 358 kJ/mol of formula units.

=====

[5]
This record from Alexandria describes Li4MoO5 at its PBEsol-relaxed geometry. The functional is meta-GGA SCAN.

a b c (Å): 6.4611 6.4611 4.1762
angles (deg): 90.00 90.00 90.00
With the nearest neighbours (Å) after each atom.
Space group I4 (No. 79)
One atom of each set of equivalent atoms:
Li: 0.0994 0.6872 0.0000 x8  6 O 1.96-2.20
Mo: 0.0000 0.0000 0.4516 x2  5 O 1.82-1.88
O: 0.0000 0.0000 0.0169 x2  1 Mo 1.82
O: 0.0892 0.7259 0.5153 x8  1 Mo 1.88, 3 Li 1.96-2.09

Summary:
The density of states at the Fermi level is 0.0000 states/eV/atom. Its density is 3.88 g cm⁻³. As for the crystal system: tetragonal. The formation energy from raw total energies is -2207 kJ/mol of formula units. For the relative energy among the computed polymorphs, the calculation gives 19.1 meV/atom.

=====

[6]
This record from Alexandria describes Ba2AlAs2 at its PBEsol-relaxed geometry. The functional is meta-GGA SCAN.

a b c (Å): 7.7780 7.7780 4.8228
angles (deg): 90.00 90.00 90.00
With the nearest neighbours (Å) after each atom.
Space group P4/mbm (No. 127)
One atom of each set of equivalent atoms:
Ba: 0.1816 0.3184 0.0000 x4  6 As 3.30-3.37
Al: 0.0000 0.0000 0.5000 x2  4 As 3.13
As: 0.1138 0.6138 0.5000 x4  1 As 2.50

Summary:
The density of states at the Fermi level is 0.3316 states/eV/atom. Its density is 5.14 g cm⁻³. As for the crystal system: tetragonal. Its energy of formation is -0.77 eV per atom.

=====

[7]
This record from Alexandria describes La3BeIn at its PBEsol-relaxed geometry. The functional is meta-GGA SCAN.

a b c (Å): 5.8957 5.8957 5.8957
angles (deg): 90.00 90.00 90.00
With the nearest neighbours (Å) after each atom.
Space group Pm-3m (No. 221)
One atom of each set of equivalent atoms:
La: 0.0000 0.0000 0.5000 x3  2 In 2.95
Be: 0.5000 0.5000 0.5000 x1  12 La 4.17
In: 0.0000 0.0000 0.0000 x1  6 La 2.95

Summary:
The density of states at the Fermi level is 1.0656 states/eV/atom. Its density is 4.38 g cm⁻³. As for the crystal system: cubic. Its energy of formation is 0.68 eV per atom.

=====

[8]
This record from Alexandria describes BeNb3Rh at its PBEsol-relaxed geometry. The functional is meta-GGA SCAN.

a b c (Å): 4.3247 4.3247 4.3247
angles (deg): 90.00 90.00 90.00
With the nearest neighbours (Å) after each atom.
Space group Pm-3m (No. 221)
One atom of each set of equivalent atoms:
Be: 0.0000 0.0000 0.0000 x1  6 Nb 2.16
Nb: 0.0000 0.0000 0.5000 x3  2 Be 2.16
Rh: 0.5000 0.5000 0.5000 x1  12 Nb 3.06

Summary:
The density of states at the Fermi level is 1.2256 states/eV/atom. Its density is 8.02 g cm⁻³. As for the crystal system: cubic. Its energy of formation is 0.50 eV per atom.

=====

[9]
This record from Alexandria describes CoMo2Pt at its PBEsol-relaxed geometry. The functional is meta-GGA SCAN.

a b c (Å): 2.7075 2.7075 26.6287
angles (deg): 90.00 90.00 120.00
With the nearest neighbours (Å) after each atom.
Space group R3m (No. 160, hexagonal axes)
One atom of each set of equivalent atoms:
Co: 0.0000 0.0000 0.0000 x3  3 Mo 2.54, 3 Pt 2.67, 6 Co 2.71
Mo: 0.0000 0.0000 0.5002 x3  9 Mo 2.71-2.90, 3 Pt 2.76
Mo: 0.0000 0.0000 0.7417 x3  3 Co 2.54, 6 Mo 2.71
Pt: 0.0000 0.0000 0.2522 x3  3 Co 2.67, 6 Pt 2.71, 3 Mo 2.76

Summary:
The density of states at the Fermi level is 0.8159 states/eV/atom. Its density is 13.14 g cm⁻³. As for the crystal system: trigonal. Its energy of formation is 0.17 eV per atom. For the relative energy among the computed polymorphs, the calculation gives 339.9 meV/atom.

=====

[10]
This record from Alexandria describes MnIn2W at its PBEsol-relaxed geometry. The functional is meta-GGA SCAN.

a b c (Å): 3.9895 3.9895 8.7079
angles (deg): 90.00 90.00 90.00
With the nearest neighbours (Å) after each atom.
Space group I-4m2 (No. 119)
One atom of each set of equivalent atoms:
Mn: 0.0000 0.0000 0.0000 x2  8 In 2.82-2.95, 4 W 2.95
In: 0.0000 0.0000 0.5000 x2  4 Mn 2.82, 4 W 2.95, 4 In 2.95
In: 0.0000 0.5000 0.7500 x2  4 W 2.82, 4 Mn 2.95, 4 In 2.95
W: 0.0000 0.5000 0.2500 x2  8 In 2.82-2.95, 4 Mn 2.95

Summary:
The density of states at the Fermi level is 0.7420 states/eV/atom. Its density is 11.22 g cm⁻³. As for the crystal system: tetragonal. Its energy of formation is 0.44 eV per atom. For the relative energy among the computed polymorphs, the calculation gives 102.7 meV/atom.

=====

[11]
This record from Alexandria describes Na2LiBi at its PBEsol-relaxed geometry. The functional is meta-GGA SCAN.

a b c (Å): 4.4905 4.4905 21.9285
angles (deg): 90.00 90.00 90.00
With the nearest neighbours (Å) after each atom.
Space group I-42d (No. 122)
One atom of each set of equivalent atoms:
Na: 0.2412 0.2500 0.1250 x8  4 Na 3.12-3.23, 2 Bi 3.15, 2 Li 3.18
Li: 0.0000 0.0000 0.5000 x4  4 Bi 3.18, 4 Na 3.18
Bi: 0.0000 0.0000 0.0000 x4  4 Na 3.15, 4 Li 3.18

Summary:
The density of states at the Fermi level is 0.3705 states/eV/atom. Its density is 3.93 g cm⁻³. As for the crystal system: tetragonal. Its energy of formation is -0.15 eV per atom.

=====

[12]
This record from Alexandria describes BeAl2 at its PBEsol-relaxed geometry. The functional is meta-GGA SCAN.

a b c (Å): 5.9003 5.9003 4.6457
angles (deg): 90.00 90.00 90.00
With the nearest neighbours (Å) after each atom.
Space group I4/mcm (No. 140)
One atom of each set of equivalent atoms:
Be: 0.0000 0.0000 0.2500 x4  2 Be 2.32, 8 Al 2.50
Al: 0.1597 0.3403 0.0000 x8  4 Be 2.50, 3 Al 2.66-2.77

Summary:
The density of states at the Fermi level is 0.2721 states/eV/atom. Its density is 2.59 g cm⁻³. As for the crystal system: tetragonal. Its energy of formation is 0.07 eV per atom.

=====

[13]
This record from Alexandria describes LiSi4Pt at its PBEsol-relaxed geometry. The functional is meta-GGA SCAN.

a b c (Å): 7.0632 7.0632 7.0632
angles (deg): 90.00 90.00 90.00
With the nearest neighbours (Å) after each atom.
Space group F-43m (No. 216)
One atom of each set of equivalent atoms:
Li: 0.0000 0.0000 0.0000 x4  12 Si 2.93, 4 Pt 3.06
Si: 0.1255 0.1255 0.6255 x16  6 Si 2.49-2.51
Pt: 0.2500 0.2500 0.2500 x4  12 Si 2.93, 4 Li 3.06

Summary:
The density of states at the Fermi level is 0.6242 states/eV/atom. Its density is 5.93 g cm⁻³. As for the crystal system: cubic. The formation energy from raw total energies is 208 kJ/mol of formula units.

=====

[14]
This record from Alexandria describes Sr2IrPb at its PBEsol-relaxed geometry. The functional is meta-GGA SCAN.

a b c (Å): 3.8297 3.8297 28.2939
angles (deg): 90.00 90.00 120.00
With the nearest neighbours (Å) after each atom.
Space group R-3m (No. 166, hexagonal axes)
One atom of each set of equivalent atoms:
Sr: 0.0000 0.0000 0.2347 x6  3 Ir 2.93
Ir: 0.0000 0.0000 0.5000 x3  6 Sr 2.93
Pb: 0.0000 0.0000 0.0000 x3  6 Sr 3.56, 6 Pb 3.83

Summary:
The density of states at the Fermi level is 0.6639 states/eV/atom. Its density is 7.97 g cm⁻³. As for the crystal system: trigonal. Its energy of formation is -0.02 eV per atom.

=====

| no. | volume (A^3/atom) |
| --- | --- |
| 1 | 12.88 |
| 2 | 20.44 |
| 3 | 19.24 |
| 4 | 41.31 |
| 5 | 8.72 |
| 6 | 29.18 |
| 7 | 40.99 |
| 8 | 16.18 |
| 9 | 14.09 |
| 10 | 17.32 |
| 11 | 27.64 |
| 12 | 13.48 |
| 13 | 14.68 |
| 14 | 29.95 |